A plane-wave DFT calculation with PBE was carried out for Er2Be2AlPt5 after structural relaxation.

energy: -6.13 eV/atom

Structure (CIF):
```
data_Er2Be2AlPt5
_cell_length_a 9.4674
_cell_length_b 9.4674
_cell_length_c 3.4953
_cell_angle_alpha 90.00
_cell_angle_beta 90.00
_cell_angle_gamma 90.00
_symmetry_space_group_name_H-M 'P 4/m b m'
_symmetry_Int_Tables_number 127
_symmetry_space_group_name_Hall '-P 4 2ab'
loop_
_atom_site_label
_atom_site_type_symbol
_atom_site_fract_x
_atom_site_fract_y
_atom_site_fract_z
Er1 Er 0.1773 0.3227 0.0000
Be1 Be 0.1195 0.6195 0.0000
Al1 Al 0.0000 0.0000 0.0000
Pt1 Pt 0.0000 0.5000 0.5000
Pt2 Pt 0.0671 0.7888 0.5000
```